--- w ---
# TaInTeN2

Crystalline TaInTeN2 at its relaxed geometry (PBE, Alexandria via LeMat-Bulk).

Total magnetic moment: 0.251 μB per formula unit
Space-group type: P4/mmm

Lattice parameters (Å, degrees): 4.1119 4.1119 5.8015 90.00 90.00 90.00
Last column: nearest neighbours and their distance in Å.
Positions (direct):
N1 0.0000 0.5000 0.0000  2 Ta 2.06
N2 0.5000 0.0000 0.0000  2 Ta 2.06
Te1 0.0000 0.0000 0.5000  2 Ta 2.90, 4 In 2.91
In1 0.5000 0.5000 0.5000  4 Te 2.91
Ta1 0.0000 0.0000 0.0000  4 N 2.06

=====

--- x ---
# TaInTeN2

Crystalline TaInTeN2 at its relaxed geometry (PBE, Alexandria via LeMat-Bulk).

Total magnetic moment: 0.043 μB per formula unit
Space-group type: P4/mmm

Lattice parameters (Å, degrees): 4.1838 4.1838 5.8815 90.00 90.00 90.00
Last column: nearest neighbours and their distance in Å.
Positions (direct):
N1 0.0000 0.5000 0.0000  2 In 2.09
N2 0.5000 0.0000 0.0000  2 In 2.09
Te1 0.0000 0.0000 0.5000  2 In 2.94, 4 Ta 2.96
In1 0.0000 0.0000 0.0000  4 N 2.09
Ta1 0.5000 0.5000 0.5000  4 Te 2.96

=====

Result of the stability comparison: x is the least stable of them.

=====

--- w ---
# InTc2N

Crystalline InTc2N at its relaxed geometry (PBE, Alexandria via LeMat-Bulk).

Total magnetic moment: 1.859 μB per formula unit
Space-group type: Fm-3m

Lattice parameters (Å, degrees): 4.3451 4.3451 4.3451 60.00 60.00 60.00
Last column: nearest neighbours and their distance in Å.
Positions (direct):
N1 0.0000 0.0000 0.0000  8 Tc 2.66
Tc1 0.2500 0.2500 0.2500  4 In 2.66, 4 N 2.66
Tc2 0.7500 0.7500 0.7500  4 In 2.66, 4 N 2.66
In1 0.5000 0.5000 0.5000  8 Tc 2.66

=====

--- x ---
# InTc2N

Crystalline InTc2N at its relaxed geometry (PBE, Alexandria via LeMat-Bulk).

Total magnetic moment: 0.000 μB per formula unit
Space-group type: R-3m

Lattice parameters (Å, degrees): 3.2020 3.2020 7.5534 77.76 77.76 60.00
Last column: nearest neighbours and their distance in Å.
Positions (direct):
N1 0.5000 0.5000 0.5000  6 Tc 2.09
Tc1 0.1227 0.1227 0.6319  3 N 2.09
Tc2 0.8773 0.8773 0.3681  3 N 2.09
In1 0.0000 0.0000 0.0000  2 Tc 2.70

=====

--- y ---
# InTc2N

Crystalline InTc2N at its relaxed geometry (PBE, Alexandria via LeMat-Bulk).

Total magnetic moment: 1.782 μB per formula unit
Space-group type: I-42d

Lattice parameters (Å, degrees): 6.5124 6.5124 5.4235 53.10 53.10 90.00
Last column: nearest neighbours and their distance in Å.
Positions (direct):
N1 0.5000 0.5000 0.0000  4 Tc 1.98
N2 0.2500 0.7500 0.5000  4 Tc 1.98
Tc1 0.5086 0.1250 0.2500  2 N 1.98
Tc2 0.2414 0.6250 0.2500  2 N 1.98
Tc3 0.3750 0.4914 0.7500  2 N 1.98
Tc4 0.8750 0.7586 0.7500  2 N 1.98
In1 0.0000 0.0000 0.0000  8 Tc 2.83-2.98, 2 N 2.87
In2 0.7500 0.2500 0.5000  8 Tc 2.83-2.98, 2 N 2.87

=====

Result of the stability comparison: w is the least stable of them.

=====

--- w ---
# InTcTe2N

Crystalline InTcTe2N at its relaxed geometry (PBE, Alexandria via LeMat-Bulk).

Total magnetic moment: 5.305 μB per formula unit
Space-group type: P4/mmm

Lattice parameters (Å, degrees): 5.7705 5.7705 4.0112 90.00 90.00 90.00
Last column: nearest neighbours and their distance in Å.
Positions (direct):
N1 0.0000 0.0000 0.5000  2 In 2.01
Te1 0.0000 0.5000 0.0000  2 In 2.89
Te2 0.5000 0.0000 0.0000  2 In 2.89
Tc1 0.5000 0.5000 0.5000  8 Te 3.51
In1 0.0000 0.0000 0.0000  2 N 2.01

=====

--- x ---
# InTcTe2N

Crystalline InTcTe2N at its relaxed geometry (PBE, Alexandria via LeMat-Bulk).

Total magnetic moment: 0.000 μB per formula unit
Space-group type: P4/mmm

Lattice parameters (Å, degrees): 5.5650 5.5650 3.7208 90.00 90.00 90.00
Last column: nearest neighbours and their distance in Å.
Positions (direct):
N1 0.0000 0.0000 0.5000  2 Tc 1.86
Te1 0.0000 0.5000 0.0000  2 Tc 2.78
Te2 0.5000 0.0000 0.0000  2 Tc 2.78
Tc1 0.0000 0.0000 0.0000  2 N 1.86
In1 0.5000 0.5000 0.5000  8 Te 3.35, 2 In 3.72

=====

Result of the stability comparison: w is the least stable of them.

=====

--- w ---
# In3TeN

Crystalline In3TeN at its relaxed geometry (PBE, Alexandria via LeMat-Bulk).

Total magnetic moment: 0.000 μB per formula unit
Space-group type: Pm-3m

Lattice parameters (Å, degrees): 4.9387 4.9387 4.9387 90.00 90.00 90.00
Last column: nearest neighbours and their distance in Å.
Positions (direct):
N1 0.0000 0.0000 0.0000  6 In 2.47
Te1 0.5000 0.5000 0.5000  12 In 3.49
In1 0.0000 0.5000 0.0000  2 N 2.47
In2 0.0000 0.0000 0.5000  2 N 2.47
In3 0.5000 0.0000 0.0000  2 N 2.47

=====

--- x ---
# In3TeN

Crystalline In3TeN at its relaxed geometry (PBE, Alexandria via LeMat-Bulk).

Total magnetic moment: 0.000 μB per formula unit
Space-group type: Pm-3m

Lattice parameters (Å, degrees): 6.0558 6.0558 6.0558 90.00 90.00 90.00
Last column: nearest neighbours and their distance in Å.
Positions (direct):
N1 0.5000 0.5000 0.5000  12 In 4.28
Te1 0.0000 0.0000 0.0000  6 In 3.03
In1 0.0000 0.5000 0.0000  2 Te 3.03
In2 0.0000 0.0000 0.5000  2 Te 3.03
In3 0.5000 0.0000 0.0000  2 Te 3.03

=====

Result of the stability comparison: x is the least stable of them.

=====

--- w ---
# InTe2N

Crystalline InTe2N at its relaxed geometry (PBE, Alexandria via LeMat-Bulk).

Total magnetic moment: 0.000 μB per formula unit
Space-group type: R-3m

Lattice parameters (Å, degrees): 9.8392 9.8392 9.8392 20.52 20.52 20.52
Last column: nearest neighbours and their distance in Å.
Positions (direct):
N1 0.0000 0.0000 0.0000  2 Te 1.93
Te1 0.0669 0.0669 0.0669  1 N 1.93
Te2 0.9331 0.9331 0.9331  1 N 1.93
In1 0.5000 0.5000 0.5000  6 In 3.50, 6 Te 3.52

=====

--- x ---
# InTe2N

Crystalline InTe2N at its relaxed geometry (PBE, Alexandria via LeMat-Bulk).

Total magnetic moment: 0.000 μB per formula unit
Space-group type: R-3m

Lattice parameters (Å, degrees): 9.8631 9.8631 9.8631 19.46 19.46 19.46
Last column: nearest neighbours and their distance in Å.
Positions (direct):
N1 0.5000 0.5000 0.5000  6 Te 2.51
Te1 0.8889 0.8889 0.8889  3 N 2.51
Te2 0.1111 0.1111 0.1111  3 N 2.51
In1 0.0000 0.0000 0.0000  2 Te 3.22, 6 In 3.33

=====

--- y ---
# InTe2N

Crystalline InTe2N at its relaxed geometry (PBE, Alexandria via LeMat-Bulk).

Total magnetic moment: 0.000 μB per formula unit
Space-group type: I-42d

Lattice parameters (Å, degrees): 5.9795 5.9795 7.5548 66.69 66.69 90.00
Last column: nearest neighbours and their distance in Å.
Positions (direct):
N1 0.5000 0.5000 0.0000  4 Te 2.31
N2 0.2500 0.7500 0.5000  4 Te 2.31
Te1 0.5076 0.1250 0.2500  2 N 2.31
Te2 0.2424 0.6250 0.2500  2 N 2.31
Te3 0.3750 0.4924 0.7500  2 N 2.31
Te4 0.8750 0.7576 0.7500  2 N 2.31
In1 0.0000 0.0000 0.0000  4 Te 3.08
In2 0.7500 0.2500 0.5000  4 Te 3.08

=====

Result of the stability comparison: x is the least stable of them.

=====

--- w ---
# TlInTeN2

Crystalline TlInTeN2 at its relaxed geometry (PBE, Alexandria via LeMat-Bulk).

Total magnetic moment: 3.100 μB per formula unit
Space-group type: P4/mmm

Lattice parameters (Å, degrees): 4.4844 4.4844 6.3416 90.00 90.00 90.00
Last column: nearest neighbours and their distance in Å.
Positions (direct):
N1 0.0000 0.5000 0.0000  2 Tl 2.24
N2 0.5000 0.0000 0.0000  2 Tl 2.24
Tl1 0.0000 0.0000 0.0000  4 N 2.24
Te1 0.0000 0.0000 0.5000  2 Tl 3.17, 4 In 3.17
In1 0.5000 0.5000 0.5000  4 Te 3.17

=====

--- x ---
# TlInTeN2

Crystalline TlInTeN2 at its relaxed geometry (PBE, Alexandria via LeMat-Bulk).

Total magnetic moment: 3.258 μB per formula unit
Space-group type: P4/mmm

Lattice parameters (Å, degrees): 4.4472 4.4472 6.1410 90.00 90.00 90.00
Last column: nearest neighbours and their distance in Å.
Positions (direct):
N1 0.0000 0.5000 0.0000  2 In 2.22
N2 0.5000 0.0000 0.0000  2 In 2.22
Tl1 0.5000 0.5000 0.5000  4 Te 3.14
Te1 0.0000 0.0000 0.5000  2 In 3.07, 4 Tl 3.14
In1 0.0000 0.0000 0.0000  4 N 2.22

=====

Result of the stability comparison: w is the least stable of them.